KCaTa2 | the Alexandria database | PBE-GGA | relaxed; ΔH_f (0 K) = 1.06 eV/atom; size of the total moment = 0.00 Bohr magnetons per cell; energy = -5.64 eV per atom; Fermi-level density of states = 0.83 states/eV per atom; E above lowest polymorph = 1.80 eV per formula unit; space-group type = Cmmm
1.0
2.905 0.000 0.000
-0.982 2.734 0.000
0.000 0.000 12.242
Ca K Ta
1 1 2
direct
0.500 0.500 0.250 Ca
0.500 0.500 0.750 K
0.000 0.000 0.020 Ta
0.000 0.000 0.480 Ta

TlFe2Os | the Alexandria database | PBE-GGA | relaxed; ΔH_f (0 K) = 0.62 eV/atom; size of the total moment = 4.68 Bohr magnetons per cell; energy = -7.01 eV per atom; Fermi-level density of states = 0.89 states/eV per atom; E above lowest polymorph = 0.40 eV per formula unit; space-group type = Pm
1.0
-0.800 0.642 -3.956
2.136 -1.662 -0.702
-2.043 -5.192 -0.430
Fe Os Tl
2 1 1
direct
0.000 0.118 0.030 Fe
0.500 0.141 0.262 Fe
0.000 0.462 0.439 Os
0.500 0.778 0.770 Tl

Mg2Cd3Hg7 | the Alexandria database | PBE-GGA | relaxed; ΔH_f (0 K) = -0.04 eV/atom; size of the total moment = 0.00 Bohr magnetons per cell; energy = -0.71 eV per atom; Fermi-level density of states = 0.41 states/eV per atom; E above lowest polymorph = 0.00 eV per formula unit; space-group type = Cmc2_1
1.0
6.622 0.000 0.000
0.000 5.075 -1.435
0.000 1.986 16.711
Mg Cd Hg
4 6 14
direct
0.771 0.427 0.854 Mg
0.271 0.573 0.146 Mg
0.271 0.428 0.854 Mg
0.771 0.572 0.146 Mg
0.772 0.000 0.000 Cd
0.272 0.000 0.000 Cd
0.774 0.724 0.448 Cd
0.274 0.276 0.552 Cd
0.774 0.276 0.552 Cd
0.274 0.724 0.448 Cd
0.526 0.193 0.387 Hg
0.026 0.807 0.613 Hg
0.026 0.193 0.387 Hg
0.526 0.807 0.613 Hg
0.022 0.645 0.290 Hg
0.522 0.355 0.710 Hg
0.522 0.645 0.290 Hg
0.022 0.355 0.710 Hg
0.021 0.087 0.175 Hg
0.521 0.913 0.825 Hg
0.021 0.500 0.000 Hg
0.521 0.500 0.000 Hg
0.021 0.912 0.825 Hg
0.521 0.088 0.175 Hg

Nd6Rh2N | the Alexandria database | PBE-GGA | relaxed; size of the total moment = 0.00 Bohr magnetons per cell; energy = -6.39 eV per atom; Fermi-level density of states = 0.92 states/eV per atom; energy relative to the elements, uncorrected = -0.651 eV/atom; space-group type = P2_1/c
1.0
-1.692 2.232 5.988
-6.527 -3.174 -0.661
3.557 -8.204 4.272
Nd Rh N
12 4 2
direct
0.127 0.042 0.261 Nd
0.172 0.310 0.563 Nd
0.189 0.330 0.939 Nd
0.311 0.830 0.561 Nd
0.328 0.810 0.937 Nd
0.373 0.542 0.239 Nd
0.873 0.958 0.739 Nd
0.828 0.690 0.437 Nd
0.811 0.670 0.061 Nd
0.689 0.170 0.439 Nd
0.672 0.190 0.063 Nd
0.627 0.458 0.761 Nd
0.047 0.601 0.754 Rh
0.453 0.101 0.746 Rh
0.547 0.899 0.254 Rh
0.953 0.399 0.246 Rh
0.500 0.500 0.000 N
0.000 0.000 0.500 N

energy of number 3 (Mg2Cd3Hg7)?
-0.71 eV per atom

What is the formula in the second record?
TlFe2Os